The following is a PBE+U calculation of crystalline TlVTcO6 at its relaxed geometry, from the Alexandria database.

abc: 5.1948 5.1803 5.9958
angles: 89.87 89.84 59.95
Site moments in Bohr magnetons follow the coordinates.
Atoms (fractional coordinates):
1 Tl 0.9999 0.0009 0.0033  0.00
2 V 0.6665 0.6663 0.4544  0.32
3 Tc 0.3331 0.3340 0.5361  0.63
4 O 0.0000 0.3924 0.3204  -0.04
5 O 0.4012 0.9938 0.6826  0.04
6 O 0.6058 0.3990 0.6822  0.04
7 O 0.9947 0.6061 0.6817  0.03
8 O 0.3932 0.6067 0.3200  -0.03
9 O 0.6054 0.0010 0.3193  -0.04

Summary:
- Uncorrected energy: -6.950 eV per atom
- SG: P1, No. 1